No. 1
# TcRhBr3 PBE optimized geometry
data_TcRhBr3
_chemical_formula_sum 'Tc1 Rh1 Br3'
_cell_length_a 5.0637
_cell_length_b 5.0637
_cell_length_c 5.0637
_cell_angle_alpha 90.00
_cell_angle_beta 90.00
_cell_angle_gamma 90.00
_space_group_name_H-M_alt 'P m -3 m'
_space_group_IT_number 221
_space_group_name_Hall '-P 4 2 3'
loop_
_atom_site_label
_atom_site_type_symbol
_atom_site_fract_x
_atom_site_fract_y
_atom_site_fract_z
Tc1 Tc 0.0000 0.0000 0.0000
Rh1 Rh 0.5000 0.5000 0.5000
Br1 Br 0.0000 0.5000 0.5000
# E_tot: -19.228 eV for the cell shown
# Excess energy over the best structure of this formula in the dataset: 0.000 eV/f.u.

***

No. 2
# TcRhBr PBE optimized geometry
data_TcRhBr
_chemical_formula_sum 'Tc1 Rh1 Br1'
_cell_length_a 2.9867
_cell_length_b 2.9867
_cell_length_c 6.3921
_cell_angle_alpha 90.00
_cell_angle_beta 90.00
_cell_angle_gamma 120.00
_space_group_name_H-M_alt 'P 3 m 1'
_space_group_IT_number 156
loop_
_space_group_symop_operation_xyz
'x,y,z'
'-y,x-y,z'
'-x+y,-x,z'
'-y,-x,z'
'-x+y,y,z'
'x,x-y,z'
loop_
_atom_site_label
_atom_site_type_symbol
_atom_site_fract_x
_atom_site_fract_y
_atom_site_fract_z
Tc1 Tc 0.0000 0.0000 0.0000
Rh1 Rh 0.3333 0.6667 0.6905
Br1 Br 0.6667 0.3333 0.3185
# E_tot: -18.001 eV for the cell shown
# Excess energy over the best structure of this formula in the dataset: 0.000 eV/f.u.

***

> Look up the E_tot of the second one.

-18.001 eV for the cell shown

***

> The highest E_tot belongs to which entry?

TcRhBr